Below is a geometry-optimized AlTcSnO6 structure, with properties calculated at the PBE-GGA level.

The formation energy from raw total energies is -1815.9 meV/atom.

It has space group P-31c (No. 163), with a = 5.0199 Å, b = 5.0199 Å, c = 8.9740 Å, α = 90.00°, β = 90.00° and γ = 120.00°. The inequivalent atoms are Al at (0.3333, 0.6667, 0.2500), Tc at (0.3333, 0.6667, 0.7500), Sn at (0.0000, 0.0000, 0.0000) and O at (0.0092, 0.3533, 0.1334).

Below is a geometry-optimized GdYLu2 structure, with properties calculated at the PBE-GGA level.

The value obtained for the energy above the lowest structure with this stoichiometry is 0.000 eV/atom. The formation energy comes out at 0.03 eV/atom.

It has space group P4/mmm (No. 123), with a = 4.993 Å, b = 4.993 Å, c = 4.942 Å, α = 90.00°, β = 90.00° and γ = 90.00°. The inequivalent atoms are Gd at (0.000, 0.000, 0.000), Y at (0.500, 0.500, 0.000) and Lu at (0.000, 0.500, 0.500).

Below is a geometry-optimized Rb2NaMgAs2 structure, with properties calculated at the PBE-GGA level.

The formation energy comes out at -0.46 eV/atom.

It has space group Ibam (No. 72), with a = 6.998 Å, b = 16.186 Å, c = 6.754 Å, α = 90.00°, β = 90.00° and γ = 90.00°. The inequivalent atoms are Rb at (0.236, 0.175, 0.000), Na at (0.000, 0.000, 0.250), Mg at (0.000, 0.500, 0.250) and As at (0.218, 0.405, 0.000).

Below is a geometry-optimized Ac3P2Pd9Au structure, with properties calculated at the PBE-GGA level.

The formation energy comes out at -0.71 eV/atom.

It has space group P-3m1 (No. 164), with a = 6.0171 Å, b = 6.0171 Å, c = 10.3402 Å, α = 90.00°, β = 90.00° and γ = 120.00°. The inequivalent atoms are Ac at (0.0000, 0.0000, 0.0000), Ac at (0.3333, 0.6667, 0.6196), P at (0.3333, 0.6667, 0.1539), Pd at (0.0000, 0.5000, 0.0000), Pd at (0.1611, 0.3222, 0.2929) and Au at (0.0000, 0.0000, 0.5000).

Below is a geometry-optimized SbAu5 structure, with properties calculated at the PBE-GGA level.

The formation energy from raw total energies is 136.7 meV/atom.

It has space group P6/mmm (No. 191), with a = 5.5637 Å, b = 5.5637 Å, c = 4.7296 Å, α = 90.00°, β = 90.00° and γ = 120.00°. The inequivalent atoms are Sb at (0.0000, 0.0000, 0.0000), Au at (0.0000, 0.5000, 0.5000) and Au at (0.3333, 0.6667, 0.0000).

Below is a geometry-optimized Tb4PrEr10 structure, with properties calculated at the PBE-GGA level.

The formation energy comes out at 0.48 eV/atom.

It has space group I4/m (No. 87), with a = 9.753 Å, b = 9.753 Å, c = 10.722 Å, α = 90.00°, β = 90.00° and γ = 90.00°. The inequivalent atoms are Tb at (0.054, 0.289, 0.000), Pr at (0.000, 0.000, 0.500), Er at (0.000, 0.500, 0.250) and Er at (0.122, 0.219, 0.330).

Below is a geometry-optimized V2GeMo2 structure, with properties calculated at the PBE-GGA level.

The value obtained for the energy above the lowest structure with this stoichiometry is 0.270 eV/atom. The formation energy comes out at 0.58 eV/atom.

It has space group I4/mmm (No. 139), with a = 3.578 Å, b = 3.578 Å, c = 12.818 Å, α = 90.00°, β = 90.00° and γ = 90.00°. The inequivalent atoms are V at (0.000, 0.000, 0.086), Ge at (0.000, 0.000, 0.500) and Mo at (0.000, 0.500, 0.250).

Below is a geometry-optimized Cd5In3Hg12 structure, with properties calculated at the PBE-GGA level.

The formation energy comes out at 0.12 eV/atom.

It has space group Ia-3d (No. 230), with a = 17.206 Å, b = 17.206 Å, c = 17.206 Å, α = 90.00°, β = 90.00° and γ = 90.00°. The inequivalent atoms are Cd at (0.000, 0.000, 0.000), Cd at (0.000, 0.250, 0.375), In at (0.000, 0.250, 0.125) and Hg at (0.020, 0.081, 0.650).

The calculation returns the following total DFT energy (no corrections) values, one per record and in order: -7.134, -7.363, -2.816, -5.591, -3.281, -4.115, -8.320, -0.705 eV/atom.
The calculation returns the following V values, one per record and in order: 10.88, 30.80, 31.88, 21.61, 21.13, 34.00, 16.41, 31.84 Å³/atom.